--- one ---
{
  "formula": "TbNdSmY",
  "functional": "GGA-PBE",
  "state": "optimized geometry",
  "lattice": [[0.000, 4.065, 4.065], [4.065, 0.000, 4.065], [4.065, 4.065, 0.000]],
  "species": ["Tb", "Nd", "Sm", "Y"],
  "frac_coords": [[0.000, 0.000, 0.000], [0.250, 0.250, 0.250], [0.750, 0.750, 0.750], [0.500, 0.500, 0.500]],
  "spacegroup": "F-43m (216)",
  "rho_g_cm3": 6.7
}

--- two ---
{
  "formula": "TbNdSmY",
  "functional": "GGA-PBE",
  "state": "optimized geometry",
  "lattice": [[-2.558, 2.558, 5.092], [2.558, -2.558, 5.092], [2.558, 2.558, -5.092]],
  "species": ["Tb", "Nd", "Sm", "Y"],
  "frac_coords": [[0.000, 0.000, 0.000], [0.250, 0.750, 0.500], [0.500, 0.500, 0.000], [0.750, 0.250, 0.500]],
  "spacegroup": "I-4m2 (119)",
  "rho_g_cm3": 6.8
}

Result of the stability comparison: one is the least stable of them.

--- one ---
{
  "formula": "TbNdSmZn",
  "functional": "GGA-PBE",
  "state": "optimized geometry",
  "lattice": [[3.629, 0.000, 0.000], [0.000, 3.629, 0.000], [0.000, 0.000, 8.763]],
  "species": ["Tb", "Nd", "Sm", "Zn"],
  "frac_coords": [[0.000, 0.000, 0.000], [0.500, 0.500, 0.707], [0.000, 0.000, 0.408], [0.500, 0.500, 0.197]],
  "spacegroup": "P4mm (99)",
  "rho_g_cm3": 7.5
}

--- two ---
{
  "formula": "TbNdSmZn",
  "functional": "GGA-PBE",
  "state": "optimized geometry",
  "lattice": [[0.000, 3.842, 3.842], [3.842, 0.000, 3.842], [3.842, 3.842, 0.000]],
  "species": ["Tb", "Nd", "Sm", "Zn"],
  "frac_coords": [[0.000, 0.000, 0.000], [0.750, 0.750, 0.750], [0.250, 0.250, 0.250], [0.500, 0.500, 0.500]],
  "spacegroup": "F-43m (216)",
  "rho_g_cm3": 7.6
}

Result of the stability comparison: two is the least stable of them.

--- one ---
{
  "formula": "Nd2SmTc",
  "functional": "GGA-PBE",
  "state": "optimized geometry",
  "lattice": [[7.498, 0.000, 0.000], [0.000, 9.609, 0.000], [0.000, 0.000, 6.500]],
  "species": ["Nd", "Nd", "Nd", "Nd", "Nd", "Nd", "Nd", "Nd", "Sm", "Sm", "Sm", "Sm", "Tc", "Tc", "Tc", "Tc"],
  "frac_coords": [[0.177, 0.066, 0.167], [0.177, 0.434, 0.167], [0.323, 0.566, 0.667], [0.323, 0.934, 0.667], [0.677, 0.066, 0.333], [0.677, 0.434, 0.333], [0.823, 0.566, 0.833], [0.823, 0.934, 0.833], [0.047, 0.250, 0.636], [0.453, 0.750, 0.136], [0.547, 0.250, 0.864], [0.953, 0.750, 0.364], [0.109, 0.750, 0.965], [0.391, 0.250, 0.465], [0.609, 0.750, 0.535], [0.891, 0.250, 0.035]],
  "spacegroup": "Pnma (62)",
  "rho_g_cm3": 7.6
}

--- two ---
{
  "formula": "Nd2SmTc",
  "functional": "GGA-PBE",
  "state": "optimized geometry",
  "lattice": [[3.547, 0.000, 0.000], [0.000, 3.547, 0.000], [0.000, 0.000, 9.083]],
  "species": ["Nd", "Nd", "Sm", "Tc"],
  "frac_coords": [[0.000, 0.000, 0.189], [0.000, 0.000, 0.811], [0.500, 0.500, 0.500], [0.500, 0.500, 0.000]],
  "spacegroup": "P4/mmm (123)",
  "rho_g_cm3": 7.8
}

--- three ---
{
  "formula": "Nd2SmTc",
  "functional": "GGA-PBE",
  "state": "optimized geometry",
  "lattice": [[2.809, 1.622, 3.926], [-2.809, 1.622, 3.926], [0.000, -3.243, 3.926]],
  "species": ["Nd", "Nd", "Sm", "Tc"],
  "frac_coords": [[0.234, 0.234, 0.234], [0.766, 0.766, 0.766], [0.500, 0.500, 0.500], [0.000, 0.000, 0.000]],
  "spacegroup": "R-3m (166)",
  "rho_g_cm3": 8.3
}

Result of the stability comparison: three is the least stable of them.

--- one ---
{
  "formula": "NdSm2Tc",
  "functional": "GGA-PBE",
  "state": "optimized geometry",
  "lattice": [[1.998, -6.145, 0.000], [1.998, 6.145, 0.000], [0.000, 0.000, 9.429]],
  "species": ["Nd", "Nd", "Sm", "Sm", "Sm", "Sm", "Tc", "Tc"],
  "frac_coords": [[0.075, 0.925, 0.750], [0.925, 0.075, 0.250], [0.355, 0.645, 0.569], [0.355, 0.645, 0.931], [0.645, 0.355, 0.069], [0.645, 0.355, 0.431], [0.261, 0.739, 0.250], [0.739, 0.261, 0.750]],
  "spacegroup": "Cmcm (63)",
  "rho_g_cm3": 7.8
}

--- two ---
{
  "formula": "NdSm2Tc",
  "functional": "GGA-PBE",
  "state": "optimized geometry",
  "lattice": [[1.746, 1.008, 11.146], [-1.746, 1.008, 11.146], [0.000, -2.016, 11.146]],
  "species": ["Nd", "Sm", "Sm", "Tc"],
  "frac_coords": [[0.000, 0.000, 0.000], [0.105, 0.105, 0.105], [0.895, 0.895, 0.895], [0.500, 0.500, 0.500]],
  "spacegroup": "R-3m (166)",
  "rho_g_cm3": 7.7
}

--- three ---
{
  "formula": "NdSm2Tc",
  "functional": "GGA-PBE",
  "state": "optimized geometry",
  "lattice": [[3.509, 0.000, 0.000], [0.000, 3.509, 0.000], [0.000, 0.000, 9.207]],
  "species": ["Nd", "Sm", "Sm", "Tc"],
  "frac_coords": [[0.000, 0.000, 0.000], [0.500, 0.500, 0.316], [0.500, 0.500, 0.684], [0.000, 0.000, 0.500]],
  "spacegroup": "P4/mmm (123)",
  "rho_g_cm3": 8.0
}

Result of the stability comparison: two is the least stable of them.